Entry from the Alexandria database: a crystal of Al3TeO relaxed with PBEsol (meta-GGA SCAN).

a = 4.4152 Å, b = 4.4152 Å, c = 4.4152 Å
α = 90.00°, β = 90.00°, γ = 90.00°
With the nearest neighbours (Å) after each atom.
Positions (direct):
1 O 0.0000 0.0000 0.0000  6 Al 2.21
2 Al 0.0000 0.0000 0.5000  2 O 2.21
3 Al 0.0000 0.5000 0.0000  2 O 2.21
4 Al 0.5000 0.0000 0.0000  2 O 2.21
5 Te 0.5000 0.5000 0.5000  12 Al 3.12

Computed properties:
Uncorrected formation energy: -0.228 eV/atom
Space-group type: Pm-3m, No. 221